Below is a relaxed Pr5ScIn6 crystal, with properties calculated at the PBE level.

Summary:
The value obtained for the mass density is 6.994 g/cm³. The symmetry is No. 12. The calculation puts the total energy at -52.3 eV/cell. The formation enthalpy at 0 K is -45.34 kJ/mol of atoms.

Unit cell a=9.4241 b=9.4241 c=7.6629 alpha=113.95 beta=113.95 gamma=33.65
Closest atoms and distances in Å follow each position.
Fractional coordinates of all 12 atoms:
Pr: 0.0000 0.0000 0.0000  8 In 3.29-3.47
Pr: 0.3222 0.3222 0.3222  8 In 3.28-3.37
Pr: 0.3379 0.3379 0.8379  8 In 3.40-3.44, 4 Pr 3.78-3.80
Pr: 0.6621 0.6621 0.1621  8 In 3.40-3.44, 4 Pr 3.78-3.80
Pr: 0.6778 0.6778 0.6778  8 In 3.28-3.37
Sc: 0.0000 0.0000 0.5000  8 In 3.15-3.21
In: 0.1583 0.1583 0.4245  1 Sc 3.15, 7 Pr 3.28-3.44
In: 0.1583 0.1583 0.8921  1 Sc 3.15, 7 Pr 3.28-3.44
In: 0.5000 0.5000 0.2790  2 Sc 3.21, 6 Pr 3.36-3.47, 1 In 3.39
In: 0.5000 0.5000 0.7210  2 Sc 3.21, 6 Pr 3.36-3.47, 1 In 3.39
In: 0.8417 0.8417 0.1079  1 Sc 3.15, 7 Pr 3.28-3.44
In: 0.8417 0.8417 0.5755  1 Sc 3.15, 7 Pr 3.28-3.44

---

Below is a relaxed CeHo2Sc crystal, with properties calculated at the PBE level.

Summary:
The value obtained for the mass density is 7.191 g/cm³. The symmetry is No. 225. The calculation puts the total energy at -20.7 eV/cell. The formation enthalpy at 0 K is 17.25 kJ/mol of atoms. The distance to the lowest polymorph of the same formula comes out at 107 meV per atom.

Unit cell a=5.5197 b=5.5197 c=5.5197 alpha=60.00 beta=60.00 gamma=60.00
Closest atoms and distances in Å follow each position.
Fractional coordinates of all 4 atoms:
Ce: 0.0000 0.0000 0.0000  8 Ho 3.38
Ho: 0.2500 0.2500 0.2500  4 Ce 3.38, 4 Sc 3.38
Ho: 0.7500 0.7500 0.7500  4 Ce 3.38, 4 Sc 3.38
Sc: 0.5000 0.5000 0.5000  8 Ho 3.38

---

Below is a relaxed LiAc4S5 crystal, with properties calculated at the PBE level.

Summary:
The value obtained for the mass density is 6.628 g/cm³. The symmetry is No. 166. The calculation puts the total energy at -58.0 eV/cell. The calculation puts the uncorrected formation energy at -1.91 eV/atom.

Unit cell a=17.0423 b=17.0423 c=17.0423 alpha=14.48 beta=14.48 gamma=14.48
Closest atoms and distances in Å follow each position.
Fractional coordinates of all 10 atoms:
Li: 0.0000 0.0000 0.0000  6 S 2.88
Ac: 0.2014 0.2014 0.2014  6 S 3.04-3.06
Ac: 0.3948 0.3948 0.3948  6 S 2.97-3.05
Ac: 0.6052 0.6052 0.6052  6 S 2.97-3.05
Ac: 0.7986 0.7986 0.7986  6 S 3.04-3.06
S: 0.0965 0.0965 0.0965  6 Ac 3.05-3.06
S: 0.3044 0.3044 0.3044  3 Li 2.88, 3 Ac 2.97
S: 0.5000 0.5000 0.5000  6 Ac 3.04
S: 0.6956 0.6956 0.6956  3 Li 2.88, 3 Ac 2.97
S: 0.9035 0.9035 0.9035  6 Ac 3.05-3.06

---

Below is a relaxed TiReN3 crystal, with properties calculated at the PBE level.

Summary:
The value obtained for the mass density is 8.541 g/cm³. The symmetry is No. 12. The calculation puts the total energy at -93.7 eV/cell. The calculation puts the uncorrected formation energy at -0.31 eV/atom.

Unit cell a=6.0706 b=6.0706 c=6.6303 alpha=111.47 beta=111.47 gamma=28.33
Closest atoms and distances in Å follow each position.
Fractional coordinates of all 10 atoms:
Ti: 0.1411 0.1411 0.3221  6 N 1.99-2.22
Ti: 0.8589 0.8589 0.6779  6 N 1.99-2.22
Re: 0.3641 0.3641 0.1919  5 N 1.94-2.10
Re: 0.6359 0.6359 0.8081  5 N 1.94-2.10
N: 0.1808 0.1808 0.0498  3 Re 2.00-2.10, 1 Ti 2.03
N: 0.3437 0.3437 0.4694  1 Re 1.94, 2 Ti 1.99
N: 0.4887 0.4887 0.8922  1 N 1.35
N: 0.5113 0.5113 0.1078  1 N 1.35
N: 0.6563 0.6563 0.5306  1 Re 1.94, 2 Ti 1.99
N: 0.8192 0.8192 0.9502  3 Re 2.00-2.10, 1 Ti 2.03

---

Below is a relaxed AuC2F crystal, with properties calculated at the PBE level.

Summary:
The value obtained for the mass density is 9.691 g/cm³. The symmetry is No. 225. The calculation puts the total energy at -14.8 eV/cell. The calculation puts the uncorrected formation energy at 2.20 eV/atom. The distance to the lowest polymorph of the same formula comes out at 207 meV per atom.

Unit cell a=3.8744 b=3.8744 c=3.8744 alpha=60.00 beta=60.00 gamma=60.00
Closest atoms and distances in Å follow each position.
Fractional coordinates of all 4 atoms:
Au: 0.0000 0.0000 0.0000  8 C 2.37
C: 0.2500 0.2500 0.2500  4 F 2.37, 4 Au 2.37
C: 0.7500 0.7500 0.7500  4 F 2.37, 4 Au 2.37
F: 0.5000 0.5000 0.5000  8 C 2.37

---

Below is a relaxed YZr4Si crystal, with properties calculated at the PBE level.

Summary:
The value obtained for the mass density is 5.667 g/cm³. The symmetry is No. 216. The calculation puts the total energy at -44.1 eV/cell. The calculation puts the uncorrected formation energy at 0.32 eV/atom.

Unit cell a=5.8451 b=5.8451 c=5.8451 alpha=60.00 beta=60.00 gamma=60.00
Closest atoms and distances in Å follow each position.
Fractional coordinates of all 6 atoms:
Y: 0.0000 0.0000 0.0000  12 Zr 3.42, 4 Si 3.58
Zr: 0.1178 0.6274 0.6274  6 Zr 2.87-2.98
Zr: 0.6274 0.1178 0.6274  6 Zr 2.87-2.98
Zr: 0.6274 0.6274 0.1178  6 Zr 2.87-2.98
Zr: 0.6274 0.6274 0.6274  6 Zr 2.87-2.98
Si: 0.2500 0.2500 0.2500  12 Zr 3.43, 4 Y 3.58